Mg2Zn5Au3: optimized geometry, PBE.

Summary:
Its energy relative to the elements is -284 meV per atom. The value obtained for the density of states at the Fermi level is 0.2823 states/eV/atom.

Lattice parameters (Å, degrees): 12.843 12.843 6.375 90.00 90.00 160.54
Element x y z (fractional)
Mg (0.025, 0.975, 0.500)
Mg (0.302, 0.698, 0.233)
Mg (0.698, 0.302, 0.733)
Mg (0.975, 0.025, 0.000)
Zn (0.092, 0.908, 0.118)
Zn (0.193, 0.807, 0.416)
Zn (0.195, 0.805, 0.014)
Zn (0.377, 0.623, 0.897)
Zn (0.431, 0.569, 0.313)
Zn (0.569, 0.431, 0.813)
Zn (0.623, 0.377, 0.397)
Zn (0.805, 0.195, 0.514)
Zn (0.807, 0.193, 0.916)
Zn (0.908, 0.092, 0.618)
Au (0.123, 0.877, 0.710)
Au (0.272, 0.728, 0.714)
Au (0.469, 0.531, 0.704)
Au (0.531, 0.469, 0.204)
Au (0.728, 0.272, 0.214)
Au (0.877, 0.123, 0.210)

MgZn8Au6: optimized geometry, PBE.

Summary:
Its energy relative to the elements is -231 meV per atom. The value obtained for the density of states at the Fermi level is 0.3167 states/eV/atom.

Lattice parameters (Å, degrees): 6.965 6.965 6.965 66.48 66.48 66.48
Element x y z (fractional)
Mg (0.000, 0.000, 0.000)
Zn (0.117, 0.794, 0.444)
Zn (0.206, 0.556, 0.883)
Zn (0.331, 0.331, 0.331)
Zn (0.444, 0.117, 0.794)
Zn (0.556, 0.883, 0.206)
Zn (0.669, 0.669, 0.669)
Zn (0.794, 0.444, 0.117)
Zn (0.883, 0.206, 0.556)
Au (0.058, 0.393, 0.715)
Au (0.285, 0.942, 0.607)
Au (0.393, 0.715, 0.058)
Au (0.607, 0.285, 0.942)
Au (0.715, 0.058, 0.393)
Au (0.942, 0.607, 0.285)

MgZn4Au3: optimized geometry, PBE.

Summary:
Its energy relative to the elements is -258 meV per atom. The value obtained for the density of states at the Fermi level is 0.2842 states/eV/atom.

Lattice parameters (Å, degrees): 8.915 8.915 4.434 94.42 94.42 22.16
Element x y z (fractional)
Mg (0.000, 0.000, 0.000)
Zn (0.124, 0.124, 0.585)
Zn (0.251, 0.251, 0.261)
Zn (0.749, 0.749, 0.739)
Zn (0.876, 0.876, 0.415)
Au (0.369, 0.369, 0.914)
Au (0.500, 0.500, 0.500)
Au (0.631, 0.631, 0.086)

Mg2ZnAu: optimized geometry, PBE.

Summary:
Its energy relative to the elements is -307 meV per atom. The value obtained for the density of states at the Fermi level is 0.2668 states/eV/atom.

Lattice parameters (Å, degrees): 5.229 5.229 4.647 107.77 107.77 37.41
Element x y z (fractional)
Mg (0.000, 0.000, 0.000)
Mg (0.222, 0.222, 0.672)
Zn (0.469, 0.469, 0.472)
Au (0.744, 0.744, 0.184)

Mg9Zn4Au11: optimized geometry, PBE.

Summary:
Its energy relative to the elements is -460 meV per atom. The value obtained for the density of states at the Fermi level is 0.3320 states/eV/atom.

Lattice parameters (Å, degrees): 12.106 12.106 3.154 90.00 90.00 113.10
Element x y z (fractional)
Mg (0.000, 0.000, 0.000)
Mg (0.123, 0.649, 0.000)
Mg (0.292, 0.453, 0.000)
Mg (0.351, 0.877, 0.000)
Mg (0.453, 0.292, 0.000)
Mg (0.547, 0.708, 0.000)
Mg (0.649, 0.123, 0.000)
Mg (0.708, 0.547, 0.000)
Mg (0.877, 0.351, 0.000)
Zn (0.059, 0.253, 0.000)
Zn (0.253, 0.059, 0.000)
Zn (0.747, 0.941, 0.000)
Zn (0.941, 0.747, 0.000)
Au (0.095, 0.448, 0.500)
Au (0.134, 0.866, 0.500)
Au (0.228, 0.228, 0.500)
Au (0.332, 0.668, 0.500)
Au (0.448, 0.095, 0.500)
Au (0.500, 0.500, 0.500)
Au (0.552, 0.905, 0.500)
Au (0.668, 0.332, 0.500)
Au (0.772, 0.772, 0.500)
Au (0.866, 0.134, 0.500)
Au (0.905, 0.552, 0.500)

Mg5Zn2Au4: optimized geometry, PBE.

Summary:
Its energy relative to the elements is -395 meV per atom. The value obtained for the density of states at the Fermi level is 0.2904 states/eV/atom.

Lattice parameters (Å, degrees): 5.749 5.749 7.923 91.02 91.02 49.28
Element x y z (fractional)
Mg (0.000, 0.000, 0.000)
Mg (0.297, 0.297, 0.090)
Mg (0.352, 0.352, 0.465)
Mg (0.648, 0.648, 0.535)
Mg (0.703, 0.703, 0.910)
Zn (0.077, 0.077, 0.364)
Zn (0.923, 0.923, 0.636)
Au (0.172, 0.172, 0.728)
Au (0.448, 0.448, 0.802)
Au (0.552, 0.552, 0.198)
Au (0.828, 0.828, 0.272)

Mg2Zn5Au12: optimized geometry, PBE.

Summary:
Its energy relative to the elements is -229 meV per atom. The value obtained for the density of states at the Fermi level is 0.3438 states/eV/atom.

Lattice parameters (Å, degrees): 7.378 7.378 8.903 123.26 123.26 66.07
Element x y z (fractional)
Mg (0.235, 0.765, 0.000)
Mg (0.765, 0.235, 0.000)
Zn (0.205, 0.205, 0.322)
Zn (0.273, 0.273, 0.688)
Zn (0.500, 0.500, 0.500)
Zn (0.727, 0.727, 0.312)
Zn (0.795, 0.795, 0.678)
Au (0.060, 0.525, 0.199)
Au (0.084, 0.084, 0.870)
Au (0.158, 0.640, 0.598)
Au (0.360, 0.842, 0.402)
Au (0.410, 0.410, 0.085)
Au (0.475, 0.940, 0.801)
Au (0.525, 0.060, 0.199)
Au (0.590, 0.590, 0.915)
Au (0.640, 0.158, 0.598)
Au (0.842, 0.360, 0.402)
Au (0.916, 0.916, 0.130)
Au (0.940, 0.475, 0.801)

Mg17Zn11Au: optimized geometry, PBE.

Summary:
Its energy relative to the elements is -109 meV per atom. The value obtained for the density of states at the Fermi level is 0.1259 states/eV/atom.

Lattice parameters (Å, degrees): 8.711 8.711 8.769 107.25 107.25 107.30
Element x y z (fractional)
Mg (0.000, 0.000, 0.000)
Mg (0.001, 0.363, 0.637)
Mg (0.005, 0.005, 0.638)
Mg (0.306, 0.693, 0.330)
Mg (0.336, 0.588, 0.630)
Mg (0.337, 0.992, 0.223)
Mg (0.363, 0.001, 0.637)
Mg (0.379, 0.379, 0.292)
Mg (0.379, 0.651, 0.014)
Mg (0.588, 0.336, 0.630)
Mg (0.588, 0.994, 0.972)
Mg (0.651, 0.379, 0.014)
Mg (0.692, 0.692, 0.938)
Mg (0.693, 0.306, 0.330)
Mg (0.695, 0.695, 0.335)
Mg (0.992, 0.337, 0.223)
Mg (0.994, 0.588, 0.972)
Zn (0.019, 0.828, 0.281)
Zn (0.025, 0.649, 0.473)
Zn (0.139, 0.331, 0.970)
Zn (0.178, 0.178, 0.420)
Zn (0.188, 0.800, 0.824)
Zn (0.331, 0.139, 0.970)
Zn (0.648, 0.835, 0.660)
Zn (0.649, 0.025, 0.473)
Zn (0.800, 0.188, 0.824)
Zn (0.828, 0.019, 0.281)
Zn (0.835, 0.648, 0.660)
Au (0.332, 0.332, 0.768)

Mg2ZnAu: optimized geometry, PBE.

Summary:
Its energy relative to the elements is -20 meV per atom. The value obtained for the density of states at the Fermi level is 0.3254 states/eV/atom.

Lattice parameters (Å, degrees): 7.685 7.685 7.685 157.49 147.92 39.55
Element x y z (fractional)
Mg (0.187, 0.187, 0.000)
Mg (0.813, 0.813, 0.000)
Zn (0.500, 0.500, 0.000)
Au (0.000, 0.000, 0.000)

MgZn5Au3: optimized geometry, PBE.

Summary:
Its energy relative to the elements is -75 meV per atom. The value obtained for the density of states at the Fermi level is 0.2327 states/eV/atom.

Lattice parameters (Å, degrees): 6.550 6.550 9.340 96.73 96.73 68.95
Element x y z (fractional)
Mg (0.133, 0.133, 0.275)
Mg (0.867, 0.867, 0.725)
Zn (0.016, 0.624, 0.368)
Zn (0.238, 0.238, 0.013)
Zn (0.333, 0.667, 0.000)
Zn (0.376, 0.984, 0.632)
Zn (0.385, 0.385, 0.530)
Zn (0.615, 0.615, 0.470)
Zn (0.624, 0.016, 0.368)
Zn (0.667, 0.333, 0.000)
Zn (0.762, 0.762, 0.987)
Zn (0.984, 0.376, 0.632)
Au (0.000, 0.000, 0.000)
Au (0.000, 0.000, 0.500)
Au (0.349, 0.349, 0.793)
Au (0.394, 0.394, 0.255)
Au (0.606, 0.606, 0.745)
Au (0.651, 0.651, 0.207)

MgZn6Au4: optimized geometry, PBE.

Summary:
Its energy relative to the elements is -126 meV per atom. The value obtained for the density of states at the Fermi level is 0.4396 states/eV/atom.

Lattice parameters (Å, degrees): 6.756 6.756 6.756 119.17 119.17 91.44
Element x y z (fractional)
Mg (0.000, 0.000, 0.000)
Zn (0.000, 0.500, 0.500)
Zn (0.146, 0.146, 0.704)
Zn (0.442, 0.442, 0.296)
Zn (0.500, 0.000, 0.500)
Zn (0.558, 0.854, 0.000)
Zn (0.854, 0.558, 0.000)
Au (0.224, 0.628, 0.000)
Au (0.372, 0.372, 0.596)
Au (0.628, 0.224, 0.000)
Au (0.776, 0.776, 0.404)

MgZnAu2: optimized geometry, PBE.

Summary:
Its energy relative to the elements is -407 meV per atom. The value obtained for the density of states at the Fermi level is 0.1207 states/eV/atom.

Lattice parameters (Å, degrees): 5.130 5.130 5.130 134.82 133.87 66.55
Element x y z (fractional)
Mg (0.000, 0.000, 0.000)
Zn (0.252, 0.752, 0.500)
Au (0.498, 0.498, 0.000)
Au (0.749, 0.249, 0.500)

Mg3Zn2Au: optimized geometry, PBE.

Summary:
Its energy relative to the elements is -269 meV per atom. Its energy above the most stable polymorph in this dataset is 0.00 eV/f.u. The value obtained for the density of states at the Fermi level is 0.2254 states/eV/atom.

Lattice parameters (Å, degrees): 7.474 7.474 3.217 90.00 90.00 143.03
Element x y z (fractional)
Mg (0.000, 0.000, 0.000)
Mg (0.337, 0.663, 0.000)
Mg (0.663, 0.337, 0.000)
Zn (0.171, 0.829, 0.500)
Zn (0.829, 0.171, 0.500)
Au (0.500, 0.500, 0.500)

MgZn3Au3: optimized geometry, PBE.

Summary:
Its energy relative to the elements is -281 meV per atom. Its energy above the most stable polymorph in this dataset is 0.00 eV/f.u. The value obtained for the density of states at the Fermi level is 0.3037 states/eV/atom.

Lattice parameters (Å, degrees): 7.294 7.294 7.294 56.08 56.08 56.08
Element x y z (fractional)
Mg (0.164, 0.164, 0.164)
Mg (0.836, 0.836, 0.836)
Zn (0.044, 0.596, 0.237)
Zn (0.237, 0.044, 0.596)
Zn (0.404, 0.763, 0.956)
Zn (0.596, 0.237, 0.044)
Zn (0.763, 0.956, 0.404)
Zn (0.956, 0.404, 0.763)
Au (0.189, 0.696, 0.425)
Au (0.304, 0.575, 0.811)
Au (0.425, 0.189, 0.696)
Au (0.575, 0.811, 0.304)
Au (0.696, 0.425, 0.189)
Au (0.811, 0.304, 0.575)

MgZnAu6: optimized geometry, PBE.

Summary:
Its energy relative to the elements is -92 meV per atom. Its energy above the most stable polymorph in this dataset is 1.26 eV/f.u. The value obtained for the density of states at the Fermi level is 0.2595 states/eV/atom.

Lattice parameters (Å, degrees): 5.487 5.487 5.487 87.35 87.35 87.35
Element x y z (fractional)
Mg (0.000, 0.000, 0.000)
Zn (0.500, 0.500, 0.500)
Au (0.170, 0.170, 0.543)
Au (0.170, 0.543, 0.170)
Au (0.457, 0.830, 0.830)
Au (0.543, 0.170, 0.170)
Au (0.830, 0.457, 0.830)
Au (0.830, 0.830, 0.457)

Mg3ZnAu2: optimized geometry, PBE.

Summary:
Its energy relative to the elements is -442 meV per atom. Its energy above the most stable polymorph in this dataset is 0.04 eV/f.u. The value obtained for the density of states at the Fermi level is 0.1376 states/eV/atom.

Lattice parameters (Å, degrees): 3.261 3.261 10.195 90.00 90.00 90.00
Element x y z (fractional)
Mg (0.000, 0.000, 0.000)
Mg (0.000, 0.000, 0.327)
Mg (0.000, 0.000, 0.673)
Zn (0.500, 0.500, 0.500)
Au (0.500, 0.500, 0.167)
Au (0.500, 0.500, 0.833)

MgZnAu: optimized geometry, PBE.

Summary:
Its energy relative to the elements is -153 meV per atom. The value obtained for the density of states at the Fermi level is 0.2964 states/eV/atom.

Lattice parameters (Å, degrees): 3.052 3.052 6.697 90.00 90.00 120.00
Element x y z (fractional)
Mg (0.000, 0.000, 0.000)
Zn (0.333, 0.667, 0.346)
Au (0.667, 0.333, 0.668)

MgZn2Au5: optimized geometry, PBE.

Summary:
Its energy relative to the elements is -268 meV per atom. The value obtained for the density of states at the Fermi level is 0.1782 states/eV/atom.

Lattice parameters (Å, degrees): 5.574 5.574 5.682 106.42 106.42 114.17
Element x y z (fractional)
Mg (0.000, 0.000, 0.000)
Zn (0.459, 0.945, 0.399)
Zn (0.945, 0.459, 0.399)
Au (0.011, 0.011, 0.503)
Au (0.450, 0.951, 0.896)
Au (0.491, 0.491, 0.503)
Au (0.511, 0.511, 0.020)
Au (0.951, 0.450, 0.896)

Mg4ZnAu5: optimized geometry, PBE.

Summary:
Its energy relative to the elements is -530 meV per atom. The value obtained for the density of states at the Fermi level is 0.3184 states/eV/atom.

Lattice parameters (Å, degrees): 3.313 3.313 16.098 90.00 90.00 90.00
Element x y z (fractional)
Mg (0.000, 0.000, 0.102)
Mg (0.000, 0.000, 0.305)
Mg (0.000, 0.000, 0.695)
Mg (0.000, 0.000, 0.898)
Zn (0.000, 0.000, 0.500)
Au (0.500, 0.500, 0.000)
Au (0.500, 0.500, 0.204)
Au (0.500, 0.500, 0.406)
Au (0.500, 0.500, 0.594)
Au (0.500, 0.500, 0.796)

MgZn4Au: optimized geometry, PBE.

Summary:
Its energy relative to the elements is -145 meV per atom. Its energy above the most stable polymorph in this dataset is 0.00 eV/f.u. The value obtained for the density of states at the Fermi level is 0.1829 states/eV/atom.

Lattice parameters (Å, degrees): 5.121 5.121 5.121 60.00 60.00 60.00
Element x y z (fractional)
Mg (0.000, 0.000, 0.000)
Zn (0.375, 0.375, 0.375)
Zn (0.375, 0.375, 0.874)
Zn (0.375, 0.874, 0.375)
Zn (0.874, 0.375, 0.375)
Au (0.750, 0.750, 0.750)

MgZn6Au5: optimized geometry, PBE.

Summary:
Its energy relative to the elements is -228 meV per atom. The value obtained for the density of states at the Fermi level is 0.1674 states/eV/atom.

Lattice parameters (Å, degrees): 7.637 7.637 7.637 147.53 123.50 66.70
Element x y z (fractional)
Mg (0.000, 0.000, 0.000)
Zn (0.092, 0.829, 0.263)
Zn (0.271, 0.500, 0.771)
Zn (0.433, 0.171, 0.263)
Zn (0.567, 0.829, 0.737)
Zn (0.729, 0.500, 0.229)
Zn (0.908, 0.171, 0.737)
Au (0.149, 0.649, 0.500)
Au (0.322, 0.322, 0.000)
Au (0.500, 0.000, 0.500)
Au (0.678, 0.678, 0.000)
Au (0.851, 0.351, 0.500)